{"formula": "KMg2GeIr", "functional": "GGA-PBE", "state": "relaxed", "cell": [[-4.5279, 1.2818, -2.1451], [-2.4177, -3.3695, 3.0899], [-0.5797, 3.4025, 3.2568]], "species": ["Ir", "Ge", "K", "Mg", "Mg"], "frac_coords": [[0.0000, 0.0000, 0.0000], [0.0000, 0.0000, 0.5000], [0.5000, 0.5000, 0.5000], [0.5000, 0.0000, 0.0000], [0.0000, 0.5000, 0.0000]], "final_energy_ev_per_cell": -18.99, "magmom_total_mub_per_cell": 0.00, "space_group": "No. 123", "formation_enthalpy_0k_ev_per_atom": -0.245, "dos_ef_per_ev_atom": 0.3270}